First-principles (PBE) data for crystalline LaTeAs at its relaxed geometry, as listed in Alexandria.

Output
Total energy   -14.764 eV for the cell shown
Formation energy (no corrections)   -0.682 eV per atom
Total magnetic moment   0.00 μB per atom

Unit cell a=5.013 b=5.013 c=4.262 alpha=90.00 beta=90.00 gamma=120.00
Fractional positions:
As 0.000 0.000 0.167
Te 0.333 0.667 0.667
La 0.667 0.333 0.167